! Pb5S2I6 GGA-PBE relaxed; values from VASP
&SYSTEM
  ibrav = 0, nat = 13, ntyp = 3
/
ATOMIC_SPECIES
Pb 207.20 Pb.upf
S 32.06 S.upf
I 126.90 I.upf
ATOMIC_POSITIONS angstrom
Pb 0.0000 0.0000 0.0000
Pb 0.9062 0.0000 6.8877
Pb 1.4587 0.0000 11.2221
Pb 11.2273 0.0000 3.6207
Pb 11.7798 0.0000 7.9552
S 2.8364 0.0000 8.8399
S 9.8496 0.0000 6.0030
I 1.4931 0.0000 2.9408
I 5.4179 0.0000 1.0751
I 5.5426 0.0000 5.3784
I 7.1433 0.0000 9.4645
I 7.2680 0.0000 13.7677
I 11.1929 0.0000 11.9021
CELL_PARAMETERS angstrom
7.4831 -2.2455 0.0000
7.4831 2.2455 0.0000
-2.2802 0.0000 14.8429
! Crystal system = monoclinic
! Energy relative to the elements, uncorrected = -0.594 eV/atom
! Symmetry = C2/m



! HoU2Mn9 GGA-PBE relaxed; values from VASP
&SYSTEM
  ibrav = 0, nat = 24, ntyp = 3
/
ATOMIC_SPECIES
Ho 164.93 Ho.upf
U 238.03 U.upf
Mn 54.94 Mn.upf
ATOMIC_POSITIONS angstrom
Ho 0.0000 0.0000 0.0000
Ho 4.1282 4.1282 0.0000
U 0.9203 3.2079 0.0000
U 3.2079 7.3360 0.0000
U 5.0485 0.9203 0.0000
U 7.3360 5.0485 0.0000
Mn 0.0000 4.1282 2.5408
Mn 0.5650 1.7128 2.5408
Mn 1.5231 5.6513 1.2622
Mn 1.5231 5.6513 3.8195
Mn 1.7128 7.6914 2.5408
Mn 2.4154 3.5632 2.5408
Mn 2.6050 1.5231 1.2622
Mn 2.6050 1.5231 3.8195
Mn 3.5632 5.8409 2.5408
Mn 4.1282 0.0000 2.5408
Mn 4.6931 2.4154 2.5408
Mn 5.6513 6.7332 1.2622
Mn 5.6513 6.7332 3.8195
Mn 5.8409 4.6931 2.5408
Mn 6.5436 0.5650 2.5408
Mn 6.7332 2.6050 1.2622
Mn 6.7332 2.6050 3.8195
Mn 7.6914 6.5436 2.5408
CELL_PARAMETERS angstrom
8.2563 0.0000 0.0000
0.0000 8.2563 0.0000
0.0000 0.0000 5.0817
! Crystal system = tetragonal
! Total DFT energy (no corrections) = -9.091 eV per atom
! Symmetry = P4/mbm



! BaCdSi2 GGA-PBE relaxed; values from VASP
&SYSTEM
  ibrav = 0, nat = 4, ntyp = 3
/
ATOMIC_SPECIES
Ba 137.33 Ba.upf
Cd 112.41 Cd.upf
Si 28.09 Si.upf
ATOMIC_POSITIONS angstrom
Ba 0.0000 0.0000 0.0000
Cd 1.9283 0.0000 3.3767
Si 0.0000 0.0000 7.9293
Si 0.0000 2.2313 3.2798
CELL_PARAMETERS angstrom
-1.9283 2.2313 6.2214
1.9283 -2.2313 6.2214
1.9283 2.2313 -6.2214
! Crystal system = orthorhombic
! Energy relative to the elements, uncorrected = -0.075 eV/atom
! Symmetry = Imm2



| no. | D(E_F) (states/eV per cell) |
| --- | --- |
| 1 | 0.000 |
| 2 | 35.392 |
| 3 | 2.436 |